DFT (PBE-GGA) results for a relaxed Y2Cu17 crystal.

- ΔH_f (0 K) (meV/atom) = -117
- spin magnetization (μB/cell) = 0.0
- space-group type = R-3m, No. 166

a = 6.4400 Å, b = 6.4400 Å, c = 6.4400 Å
α = 82.77°, β = 82.77°, γ = 82.77°
Sites, in units of the cell vectors:
Y1 0.1583 0.1583 0.1583
Y2 0.8417 0.8417 0.8417
Cu1 0.0000 0.5000 0.5000
Cu2 0.1530 0.1530 0.6538
Cu3 0.1530 0.6538 0.1530
Cu4 0.2043 0.5000 0.7957
Cu5 0.2043 0.7957 0.5000
Cu6 0.3462 0.8470 0.8470
Cu7 0.4016 0.4016 0.4016
Cu8 0.5000 0.0000 0.5000
Cu9 0.5000 0.2043 0.7957
Cu10 0.5000 0.5000 0.0000
Cu11 0.5000 0.7957 0.2043
Cu12 0.5984 0.5984 0.5984
Cu13 0.6538 0.1530 0.1530
Cu14 0.7957 0.2043 0.5000
Cu15 0.7957 0.5000 0.2043
Cu16 0.8470 0.3462 0.8470
Cu17 0.8470 0.8470 0.3462

=====

DFT (PBE-GGA) results for a relaxed Y3Cu5 crystal.

- ΔH_f (0 K) (meV/atom) = -253
- spin magnetization (μB/cell) = 0.0
- space-group type = Cmcm, No. 63

a = 5.4155 Å, b = 5.4155 Å, c = 14.2862 Å
α = 90.00°, β = 90.00°, γ = 134.31°
Sites, in units of the cell vectors:
Y1 0.0920 0.9080 0.6023
Y2 0.0920 0.9080 0.8977
Y3 0.3736 0.6264 0.7500
Y4 0.6264 0.3736 0.2500
Y5 0.9080 0.0920 0.1023
Y6 0.9080 0.0920 0.3977
Cu1 0.2035 0.7965 0.1014
Cu2 0.2035 0.7965 0.3986
Cu3 0.3366 0.6634 0.2500
Cu4 0.3883 0.6117 0.5408
Cu5 0.3883 0.6117 0.9592
Cu6 0.6117 0.3883 0.0408
Cu7 0.6117 0.3883 0.4592
Cu8 0.6634 0.3366 0.7500
Cu9 0.7965 0.2035 0.6014
Cu10 0.7965 0.2035 0.8986